Version A
{
  "formula": "Tl2AsP",
  "functional": "meta-GGA SCAN",
  "state": "PBEsol geometry",
  "lattice": [[-0.822, 2.791, 1.828], [-4.534, -2.436, 1.679], [5.208, -2.093, 2.309]],
  "species": ["As", "Tl", "Tl", "P"],
  "fractional_positions": [[0.552, 0.552, 0.105], [0.974, 0.973, 0.947], [0.766, 0.267, 0.533], [0.208, 0.708, 0.416]],
  "space_group": "Cm"
}


Version B
{
  "formula": "Tl2AsP",
  "functional": "meta-GGA SCAN",
  "state": "PBEsol geometry",
  "lattice": [[3.446, 0.000, 0.000], [0.000, 4.845, -0.047], [0.000, -1.620, 6.035]],
  "species": ["Tl", "As", "Tl", "P"],
  "fractional_positions": [[0.000, 0.929, 0.934], [0.000, 0.144, 0.508], [0.500, 0.559, 0.305], [0.500, 0.368, 0.754]],
  "space_group": "Pm"
}


Which structure loses on stability? version A does.


Version A
{
  "formula": "TlAs2P",
  "functional": "meta-GGA SCAN",
  "state": "PBEsol geometry",
  "lattice": [[3.083, -0.001, 0.000], [-0.847, 2.964, 0.000], [0.000, 0.000, 9.030]],
  "species": ["As", "P", "Tl", "As"],
  "fractional_positions": [[0.000, 0.000, 0.974], [0.000, 0.000, 0.548], [0.500, 0.500, 0.254], [0.500, 0.500, 0.724]],
  "space_group": "Cmm2"
}


Version B
{
  "formula": "TlAs2P",
  "functional": "meta-GGA SCAN",
  "state": "PBEsol geometry",
  "lattice": [[3.368, 0.000, 0.000], [-1.684, 4.945, 0.036], [0.000, -2.154, 5.347]],
  "species": ["Tl", "As", "P", "As"],
  "fractional_positions": [[0.000, 0.000, 0.500], [0.800, 0.600, 0.873], [0.500, 0.000, 0.000], [0.200, 0.400, 0.127]],
  "space_group": "C2/m"
}


Which structure loses on stability? version A does.


Version A
{
  "formula": "TlAs2P",
  "functional": "meta-GGA SCAN",
  "state": "PBEsol geometry",
  "lattice": [[3.576, 0.000, 0.000], [0.000, 4.707, 0.000], [0.000, 0.000, 4.707]],
  "species": ["As", "P", "Tl", "As"],
  "fractional_positions": [[0.000, 0.500, 0.000], [0.500, 0.500, 0.500], [0.500, 0.000, 0.000], [0.000, 0.000, 0.500]],
  "space_group": "P4/mmm"
}


Version B
{
  "formula": "TlAs2P",
  "functional": "meta-GGA SCAN",
  "state": "PBEsol geometry",
  "lattice": [[3.420, 0.000, 0.000], [1.710, 2.962, 0.000], [1.710, 0.987, 8.385]],
  "species": ["As", "P", "Tl", "As"],
  "fractional_positions": [[0.228, 0.228, 0.317], [0.500, 0.500, 0.500], [0.000, 0.000, 0.000], [0.772, 0.772, 0.683]],
  "space_group": "R-3m"
}


Which structure loses on stability? version A does.


Version A
{
  "formula": "TlAsP2",
  "functional": "meta-GGA SCAN",
  "state": "PBEsol geometry",
  "lattice": [[4.707, -0.035, -0.050], [-2.306, 4.104, 0.050], [-2.306, -1.382, 3.864]],
  "species": ["P", "P", "As", "Tl"],
  "fractional_positions": [[0.500, 0.250, 0.750], [0.500, 0.750, 0.250], [0.000, 0.000, 0.000], [0.000, 0.500, 0.500]],
  "space_group": "I4/mmm"
}


Version B
{
  "formula": "TlAsP2",
  "functional": "meta-GGA SCAN",
  "state": "PBEsol geometry",
  "lattice": [[3.727, 0.000, 0.000], [1.864, 3.228, 0.000], [1.864, 1.076, 6.462]],
  "species": ["Tl", "P", "As", "P"],
  "fractional_positions": [[0.500, 0.500, 0.500], [0.261, 0.261, 0.217], [0.000, 0.000, 0.000], [0.739, 0.739, 0.783]],
  "space_group": "R-3m"
}


Which structure loses on stability? version A does.


Version A
{
  "formula": "AsPW",
  "functional": "meta-GGA SCAN",
  "state": "PBEsol geometry",
  "lattice": [[4.119, 0.000, 0.000], [2.059, 3.567, 0.000], [2.059, 1.189, 3.363]],
  "species": ["As", "W", "P"],
  "fractional_positions": [[0.500, 0.500, 0.500], [0.000, 0.000, 0.000], [0.250, 0.250, 0.250]],
  "space_group": "F-43m"
}


Version B
{
  "formula": "AsPW",
  "functional": "meta-GGA SCAN",
  "state": "PBEsol geometry",
  "lattice": [[4.174, 0.000, 0.000], [2.087, 3.615, 0.000], [2.087, 1.205, 3.408]],
  "species": ["P", "As", "W"],
  "fractional_positions": [[0.000, 0.000, 0.000], [0.250, 0.250, 0.250], [0.500, 0.500, 0.500]],
  "space_group": "F-43m"
}


Which structure loses on stability? version B does.


Version A
{
  "formula": "As2Pb3",
  "functional": "meta-GGA SCAN",
  "state": "PBEsol geometry",
  "lattice": [[-4.129, -2.456, 1.321], [3.903, 0.156, 3.093], [-2.378, 5.465, 2.725]],
  "species": ["Pb", "Pb", "Pb", "As", "As"],
  "fractional_positions": [[0.333, 0.667, 0.329], [0.000, 0.000, 0.000], [0.667, 0.333, 0.671], [0.333, 0.667, 0.784], [0.667, 0.333, 0.216]],
  "space_group": "P-3m1"
}


Version B
{
  "formula": "As2Pb3",
  "functional": "meta-GGA SCAN",
  "state": "PBEsol geometry",
  "lattice": [[4.279, 0.000, 0.000], [2.140, 3.706, 0.000], [2.140, 1.235, 8.790]],
  "species": ["Pb", "As", "Pb", "As", "Pb"],
  "fractional_positions": [[0.787, 0.787, 0.638], [0.600, 0.600, 0.199], [0.000, 0.000, 0.000], [0.400, 0.400, 0.801], [0.213, 0.213, 0.362]],
  "space_group": "R-3m"
}


Which structure loses on stability? version A does.


Version A
{
  "formula": "As3Pb",
  "functional": "meta-GGA SCAN",
  "state": "PBEsol geometry",
  "lattice": [[-0.986, -0.078, 3.389], [-0.685, -5.087, -0.316], [5.368, 1.891, -0.234]],
  "species": ["Pb", "As", "As", "As"],
  "fractional_positions": [[0.000, 0.500, 0.000], [0.210, 0.210, 0.420], [0.790, 0.790, 0.580], [0.500, 0.000, 0.000]],
  "space_group": "Immm"
}


Version B
{
  "formula": "As3Pb",
  "functional": "meta-GGA SCAN",
  "state": "PBEsol geometry",
  "lattice": [[-3.242, -0.674, -2.830], [1.018, -5.446, 0.129], [-5.082, -0.808, 6.015]],
  "species": ["Pb", "As", "Pb", "As", "As", "As", "As", "As"],
  "fractional_positions": [[0.443, 0.500, 0.500], [0.992, 0.000, 0.736], [0.557, 0.000, 0.000], [0.621, 0.000, 0.500], [0.992, 0.000, 0.264], [0.379, 0.500, 0.000], [0.008, 0.500, 0.764], [0.008, 0.500, 0.236]],
  "space_group": "Pmmn"
}


Which structure loses on stability? version A does.


Version A
{
  "formula": "SbAsPb2",
  "functional": "meta-GGA SCAN",
  "state": "PBEsol geometry",
  "lattice": [[5.274, 0.000, 0.000], [2.637, 4.568, 0.000], [2.637, 1.523, 4.306]],
  "species": ["Pb", "As", "Sb", "Pb"],
  "fractional_positions": [[0.250, 0.250, 0.250], [0.000, 0.000, 0.000], [0.500, 0.500, 0.500], [0.750, 0.750, 0.750]],
  "space_group": "Fm-3m"
}


Version B
{
  "formula": "SbAsPb2",
  "functional": "meta-GGA SCAN",
  "state": "PBEsol geometry",
  "lattice": [[-3.314, -0.994, 1.399], [-0.517, -3.688, -3.846], [4.293, -1.224, 4.322]],
  "species": ["Sb", "Pb", "As", "Pb"],
  "fractional_positions": [[0.540, 0.540, 0.080], [0.754, 0.254, 0.507], [0.236, 0.736, 0.472], [0.970, 0.970, 0.941]],
  "space_group": "Imm2"
}


Which structure loses on stability? version A does.


Version A
{
  "formula": "As2PbSe",
  "functional": "meta-GGA SCAN",
  "state": "PBEsol geometry",
  "lattice": [[-0.994, -1.312, -3.244], [-0.026, -4.988, 2.025], [-3.940, 3.645, 1.772]],
  "species": ["Se", "As", "Pb", "As"],
  "fractional_positions": [[0.723, 0.223, 0.446], [0.300, 0.800, 0.599], [0.489, 0.489, 0.978], [0.989, 0.989, 0.977]],
  "space_group": "Imm2"
}


Version B
{
  "formula": "As2PbSe",
  "functional": "meta-GGA SCAN",
  "state": "PBEsol geometry",
  "lattice": [[4.015, 0.000, 0.000], [0.000, 4.015, 0.000], [0.000, 0.000, 5.727]],
  "species": ["As", "As", "Se", "Pb"],
  "fractional_positions": [[0.500, 0.000, 0.000], [0.000, 0.500, 0.000], [0.000, 0.000, 0.500], [0.500, 0.500, 0.500]],
  "space_group": "P4/mmm"
}


Version C
{
  "formula": "As2PbSe",
  "functional": "meta-GGA SCAN",
  "state": "PBEsol geometry",
  "lattice": [[-1.609, -0.461, -2.750], [3.198, 0.041, -0.365], [0.273, -9.123, 1.369]],
  "species": ["As", "Pb", "As", "Se"],
  "fractional_positions": [[0.000, 0.000, 0.217], [0.500, 0.500, 0.500], [0.000, 0.000, 0.783], [0.500, 0.500, 0.000]],
  "space_group": "Cmmm"
}


Which structure loses on stability? version C does.


Version A
{
  "formula": "SiAsPb2",
  "functional": "meta-GGA SCAN",
  "state": "PBEsol geometry",
  "lattice": [[-3.245, -2.788, -2.767], [1.771, -3.591, -3.150], [-0.705, -4.924, 1.098]],
  "species": ["As", "Pb", "Si", "Pb"],
  "fractional_positions": [[0.500, 0.500, 0.500], [0.750, 0.750, 0.750], [0.250, 0.250, 0.250], [0.000, 0.000, 0.000]],
  "space_group": "F-43m"
}


Version B
{
  "formula": "SiAsPb2",
  "functional": "meta-GGA SCAN",
  "state": "PBEsol geometry",
  "lattice": [[-0.986, -1.399, -3.110], [5.063, -1.333, -1.006], [-2.749, -3.070, 4.278]],
  "species": ["Pb", "Pb", "Si", "As"],
  "fractional_positions": [[0.777, 0.278, 0.553], [0.987, 0.986, 0.974], [0.535, 0.533, 0.070], [0.202, 0.703, 0.403]],
  "space_group": "Cm"
}


Which structure loses on stability? version A does.


Version A
{
  "formula": "SiAs2Pb",
  "functional": "meta-GGA SCAN",
  "state": "PBEsol geometry",
  "lattice": [[3.767, 0.454, 0.000], [-0.456, 3.767, 0.000], [0.000, 0.000, 6.326]],
  "species": ["Si", "Pb", "As", "As"],
  "fractional_positions": [[0.500, 0.500, 0.089], [0.000, 0.000, 0.570], [0.500, 0.500, 0.712], [0.000, 0.000, 0.130]],
  "space_group": "P4mm"
}


Version B
{
  "formula": "SiAs2Pb",
  "functional": "meta-GGA SCAN",
  "state": "PBEsol geometry",
  "lattice": [[3.802, 0.000, 0.000], [1.901, 3.293, 0.000], [1.901, 1.098, 6.753]],
  "species": ["As", "Si", "Pb", "As"],
  "fractional_positions": [[0.267, 0.267, 0.198], [0.000, 0.000, 0.000], [0.500, 0.500, 0.500], [0.733, 0.733, 0.802]],
  "space_group": "R-3m"
}


Version C
{
  "formula": "SiAs2Pb",
  "functional": "meta-GGA SCAN",
  "state": "PBEsol geometry",
  "lattice": [[3.379, 0.000, 0.000], [0.000, 4.943, 0.000], [0.000, 0.000, 4.943]],
  "species": ["Pb", "Si", "As", "As"],
  "fractional_positions": [[0.500, 0.500, 0.500], [0.500, 0.000, 0.000], [0.000, 0.500, 0.000], [0.000, 0.000, 0.500]],
  "space_group": "P4/mmm"
}


Version D
{
  "formula": "SiAs2Pb",
  "functional": "meta-GGA SCAN",
  "state": "PBEsol geometry",
  "lattice": [[-0.034, 3.494, 2.711], [-0.147, -2.710, 3.491], [4.374, -0.453, -2.968]],
  "species": ["Si", "As", "As", "Pb"],
  "fractional_positions": [[0.000, 0.000, 0.000], [0.750, 0.250, 0.500], [0.250, 0.750, 0.500], [0.500, 0.500, 0.000]],
  "space_group": "I4/mmm"
}


Which structure loses on stability? version D does.


Version A
{
  "formula": "Si2AsPb",
  "functional": "meta-GGA SCAN",
  "state": "PBEsol geometry",
  "lattice": [[4.818, 0.000, 0.000], [2.409, 4.173, 0.000], [2.409, 1.391, 3.934]],
  "species": ["As", "Pb", "Si", "Si"],
  "fractional_positions": [[0.500, 0.500, 0.500], [0.250, 0.250, 0.250], [0.750, 0.750, 0.750], [0.000, 0.000, 0.000]],
  "space_group": "F-43m"
}


Version B
{
  "formula": "Si2AsPb",
  "functional": "meta-GGA SCAN",
  "state": "PBEsol geometry",
  "lattice": [[-1.963, -1.116, 2.987], [2.290, -2.370, -1.727], [4.202, 3.928, 4.228]],
  "species": ["As", "Pb", "Si", "Si"],
  "fractional_positions": [[0.481, 0.962, 0.445], [0.253, 0.507, 0.759], [0.746, 0.492, 0.238], [0.020, 0.039, 0.057]],
  "space_group": "Cm"
}


Which structure loses on stability? version A does.